Compound: KV2RhN
Source: Alexandria via LeMat-Bulk
Functional: PBE
Structure: relaxed

ΔE_f (raw)	0.511	eV/atom
space group	P4/mmm
N(E_F)	5.32	states/eV per cell
crystal system	tetragonal
density	5.53	g/cm³

Cell lengths 4.129, 4.544, 4.129 Å; angles 90.00, 90.00, 90.00 degrees
Site moments in Bohr magnetons follow the coordinates.
Element x y z (fractional)
N  0.000  0.000  0.000  -0.12
V  0.000  0.000  0.500  2.04
Rh  0.000  0.500  0.000  -0.06
V  0.500  0.000  0.000  1.66
K  0.500  0.500  0.500  0.06



Compound: NaIn8Sn2
Source: Alexandria via LeMat-Bulk
Functional: PBE
Structure: relaxed

E_form	0.060	eV/f.u.
space group	C2/m
offset from the most stable computed form	0.000	eV per atom
N(E_F)	4.49	states/eV per cell
crystal system	monoclinic
density	6.34	g/cm³

Cell lengths 5.580, 6.277, 9.429 Å; angles 109.44, 97.29, 90.00 degrees
Element x y z (fractional)
Na  0.000  0.000  0.000
In  0.943  0.811  0.621
In  0.478  0.154  0.819
In  0.522  0.846  0.181
In  0.478  0.665  0.819
In  0.990  0.410  0.821
In  0.057  0.189  0.379
Sn  0.587  0.261  0.523
Sn  0.413  0.739  0.477
In  0.010  0.590  0.179
In  0.522  0.335  0.181



Compound: Ca4DyGa5
Source: Alexandria via LeMat-Bulk
Functional: PBE
Structure: relaxed

E_form	-4.684	eV/f.u.
space group	P4/mmm
N(E_F)	5.96	states/eV per cell
crystal system	tetragonal
density	4.58	g/cm³

Cell lengths 3.662, 3.662, 18.138 Å; angles 90.00, 90.00, 90.00 degrees
Element x y z (fractional)
Ca  0.000  0.000  0.399
Ga  0.500  0.500  0.906
Ga  0.500  0.500  0.500
Dy  0.000  0.000  0.000
Ga  0.500  0.500  0.299
Ga  0.500  0.500  0.094
Ga  0.500  0.500  0.701
Ca  0.000  0.000  0.801
Ca  0.000  0.000  0.199
Ca  0.000  0.000  0.601



Compound: AcZn2OsO8
Source: Alexandria via LeMat-Bulk
Functional: PBE
Structure: relaxed

ΔE_f (raw)	-1.385	eV/atom
space group	P-1
N(E_F)	1.77	states/eV per cell
crystal system	triclinic
density	7.38	g/cm³

Cell lengths 4.797, 4.541, 6.986 Å; angles 89.85, 89.95, 88.89 degrees
Element x y z (fractional)
Zn  0.500  0.500  0.232
Os  0.000  0.000  0.000
O  0.312  0.240  0.000
Ac  0.000  0.000  0.500
O  0.156  0.762  0.196
Zn  0.500  0.500  0.768
O  0.843  0.237  0.195
O  0.157  0.763  0.805
O  0.467  0.261  0.500
O  0.533  0.739  0.500
O  0.688  0.760  0.000
O  0.844  0.238  0.804